Record 1
The following is a PBE-GGA calculation of a relaxed Ta2Ni crystal, from OQMD.

Computed properties:
SG: P6_3/mmc
Energy of formation in eV per atom: 0.684

```
Ta2Ni
1.0
5.3290 0.0000 0.0000
-2.6645 4.6150 0.0000
0.0000 0.0000 8.5255
Ni Ta
4 8
Cartesian
0.0000 3.0767 0.5273
2.6645 1.5384 4.7900
2.6645 1.5384 7.9982
0.0000 3.0767 3.7355
0.0000 0.0000 0.0000
1.3076 3.8317 6.3941
3.9721 0.7834 2.1314
0.0000 0.0000 4.2627
-1.3076 3.8317 6.3941
0.0000 1.5668 6.3941
1.3569 0.7834 2.1314
2.6645 3.0483 2.1314
```

Record 2
The following is a PBE-GGA calculation of a relaxed Sc2ZnH2 crystal, from OQMD.

Computed properties:
SG: I4/mmm

```
Sc2ZnH2
1.0
-1.6976 1.6976 5.5242
1.6976 -1.6976 5.5242
1.6976 1.6976 -5.5242
Sc Zn H
2 1 2
Cartesian
0.0000 0.0000 7.1784
0.0000 0.0000 3.8701
0.0000 0.0000 0.0000
1.6976 0.0000 2.7621
0.0000 1.6976 2.7621
```

Record 3
The following is a PBE-GGA calculation of a relaxed TbErNi2C2N2 crystal, from OQMD.

Computed properties:
SG: P4mm

```
TbErNi2C2N2
1.0
3.4506 0.0000 0.0000
0.0000 3.4506 0.0000
0.0000 0.0000 7.3151
Er Ni C N Tb
1 2 2 2 1
Cartesian
0.0000 0.0000 6.0584
0.0000 1.7253 3.6675
1.7253 0.0000 3.6675
0.0000 0.0000 2.4705
1.7253 1.7253 4.8294
0.0000 0.0000 1.0634
1.7253 1.7253 6.2336
1.7253 1.7253 1.2703
```

Record 4
The following is a PBE-GGA calculation of a relaxed Pt crystal, from OQMD.

Computed properties:
Offset from the most stable computed form in meV per atom: 475
SG: Cmce
Energy of formation in eV per atom: 0.475

```
Pt
1.0
-2.2670 -3.5030 0.0000
-2.2670 3.5030 0.0000
0.0000 0.0000 -4.6702
Pt
4
Cartesian
-2.2670 2.3140 -0.4725
-2.2670 -1.1890 -1.8626
-2.2670 1.1890 -2.8076
-2.2670 -2.3140 -4.1977
```

Record 5
The following is a PBE-GGA calculation of a relaxed NaYZr crystal, from OQMD.

Computed properties:
SG: F-43m

```
NaYZr
1.0
0.0000 3.7199 3.7199
3.7199 0.0000 3.7199
3.7199 3.7199 0.0000
Zr Y Na
1 1 1
Cartesian
5.5799 5.5799 5.5799
0.0000 0.0000 0.0000
1.8600 1.8600 1.8600
```

Record 6
The following is a PBE-GGA calculation of a relaxed KCuPtSe2S crystal, from OQMD.

Computed properties:
SG: Cmcm

```
KCuPtSe2S
1.0
1.9116 -6.9683 0.0000
1.9116 6.9683 0.0000
0.0000 0.0000 10.1247
Se Cu K S Pt
4 2 2 2 2
Cartesian
1.9116 5.3223 9.7609
1.9116 -5.3223 0.3638
1.9116 5.3223 5.4262
1.9116 -5.3223 4.6985
1.9116 6.4391 7.5935
1.9116 -6.4391 2.5312
1.9116 3.5753 2.5312
1.9116 -3.5753 7.5935
1.9116 0.7074 7.5935
1.9116 -0.7074 2.5312
1.9116 0.0000 5.0623
1.9116 0.0000 0.0000
```

| no. | total energy (eV/atom) |
| --- | --- |
| 1 | -9.07 |
| 2 | -4.70 |
| 3 | -7.58 |
| 4 | -5.58 |
| 5 | -4.11 |
| 6 | -4.12 |